## VSO6 (PBE with a Hubbard U)

Data for a relaxed structure of VSO6.

Summary:
crystal system: monoclinic
VASP energy: -5.96 eV/atom

Cell and atoms, written as CIF:
```
data_VSO6
_chemical_formula_sum 'V1 S1 O6'
_space_group_name_H-M_alt 'P 1'
_space_group_IT_number 1
_cell_length_a 5.309
_cell_length_b 5.309
_cell_length_c 4.442
_cell_angle_alpha 95.68
_cell_angle_beta 95.68
_cell_angle_gamma 130.48
loop_
_space_group_symop_operation_xyz
'x,y,z'
loop_
_atom_site_label
_atom_site_type_symbol
_atom_site_fract_x
_atom_site_fract_y
_atom_site_fract_z
_atom_site_occupancy
O1 O 0.263 0.263 0.733 1
O2 O 0.737 0.737 0.267 1
O3 O 0.405 0.166 0.282 1
O4 O 0.834 0.595 0.718 1
O5 O 0.595 0.834 0.718 1
O6 O 0.166 0.405 0.282 1
V1 V 0.000 0.000 0.000 1
S1 S 0.500 0.500 0.500 1
```